Below is KFeIO2 after structural relaxation, with properties calculated at the PBEsol level.

The structure in POSCAR format:
```
KFeIO2
1.0
4.067 0.000 0.000
0.000 4.067 0.000
0.000 0.000 5.329
O I Fe K
2 1 1 1
direct
0.000 0.500 0.000 O
0.500 0.000 0.000 O
0.000 0.000 0.500 I
0.000 0.000 0.000 Fe
0.500 0.500 0.500 K
```

Calculated values
calculated density: 4.78 g/cm³
M_tot: 4.3 μB per formula unit
raw total energy: -24.9 eV/f.u.
space group: P4/mmm, No. 123
formation energy without anion corrections: -49 kJ/mol of atoms
volume: 17.6 A^3/atom
DOS(E_F): 1.98 states/eV/cell

Below is KScFe2I after structural relaxation, with properties calculated at the PBEsol level.

The structure in POSCAR format:
```
KScFe2I
1.0
4.617 0.000 0.000
0.000 4.617 0.000
0.000 0.000 7.150
I Fe K Sc
1 2 1 1
direct
0.500 0.500 0.500 I
0.500 0.000 0.000 Fe
0.000 0.500 0.000 Fe
0.000 0.000 0.500 K
0.000 0.000 0.000 Sc
```

Calculated values
calculated density: 3.51 g/cm³
M_tot: 4.2 μB per formula unit
raw total energy: -22.1 eV/f.u.
space group: P4/mmm, No. 123
formation energy without anion corrections: 103 kJ/mol of atoms
volume: 30.5 A^3/atom
DOS(E_F): 4.78 states/eV/cell